Material: DyLuTl2
Method: DFT, PBE
State: optimized geometry

```
DyLuTl2
1.0
3.581 0.000 0.000
0.000 3.581 0.000
0.000 0.000 8.331
Tl Dy Lu
2 1 1
Direct
0.000 0.000 0.754 Tl
0.000 0.000 0.246 Tl
0.500 0.500 0.500 Dy
0.500 0.500 0.000 Lu
```

Computed properties:
calculated total energy: -15.1 eV per cell
DFT formation energy: -117.3 kJ/mol of formula units
total magnetization: 0.021 μB per cell